No. 1
## CrCd2Cu (PBE-GGA)

Data for a relaxed structure of CrCd2Cu.

a b c (Å): 6.551 6.551 6.551
angles (deg): 90.00 90.00 90.00
Element x y z (fractional)
Cr 0.000 0.000 0.000
Cr 0.000 0.500 0.500
Cr 0.500 0.000 0.500
Cr 0.500 0.500 0.000
Cd 0.000 0.000 0.500
Cd 0.000 0.500 0.000
Cd 0.250 0.250 0.750
Cd 0.250 0.750 0.250
Cd 0.500 0.000 0.000
Cd 0.500 0.500 0.500
Cd 0.750 0.250 0.250
Cd 0.750 0.750 0.750
Cu 0.250 0.250 0.250
Cu 0.250 0.750 0.750
Cu 0.750 0.250 0.750
Cu 0.750 0.750 0.250

magnetization	3.93	μB/f.u.
calculated density	8.04	Mg/m³
VASP energy	-3.5840	eV/atom
formation energy from the elements	1.21	eV/f.u.
space group	F-43m, No. 216
DOS(E_F)	2.45	states/eV/f.u.



No. 2
## CrCd2Cu2 (PBE-GGA)

Data for a relaxed structure of CrCd2Cu2.

a b c (Å): 7.480 7.480 2.850
angles (deg): 90.00 90.00 90.00
Element x y z (fractional)
Cr 0.000 0.000 0.000
Cr 0.500 0.500 0.000
Cd 0.179 0.321 0.500
Cd 0.321 0.821 0.500
Cd 0.679 0.179 0.500
Cd 0.821 0.679 0.500
Cu 0.119 0.619 0.000
Cu 0.381 0.119 0.000
Cu 0.619 0.881 0.000
Cu 0.881 0.381 0.000

magnetization	0.13	μB/f.u.
calculated density	8.41	Mg/m³
VASP energy	-3.3890	eV/atom
formation energy from the elements	2.70	eV/f.u.
space group	P4/mbm, No. 127
DOS(E_F)	5.14	states/eV/f.u.



No. 3
## CrCd2Cu (PBE-GGA)

Data for a relaxed structure of CrCd2Cu.

a b c (Å): 9.266 4.028 4.240
angles (deg): 90.00 117.09 90.00
Element x y z (fractional)
Cr 0.000 0.000 0.000
Cr 0.500 0.500 0.000
Cd 0.010 0.500 0.510
Cd 0.255 0.500 0.255
Cd 0.510 0.000 0.510
Cd 0.755 0.000 0.255
Cu 0.257 0.000 0.757
Cu 0.757 0.500 0.757

magnetization	4.20	μB/f.u.
calculated density	8.02	Mg/m³
VASP energy	-3.5950	eV/atom
formation energy from the elements	1.17	eV/f.u.
space group	Cm, No. 8
DOS(E_F)	2.10	states/eV/f.u.



No. 4
## CrCd2Cu (PBE-GGA)

Data for a relaxed structure of CrCd2Cu.

a b c (Å): 3.252 3.252 6.645
angles (deg): 90.00 90.00 90.00
Element x y z (fractional)
Cr 0.000 0.000 0.000
Cd 0.500 0.500 0.266
Cd 0.500 0.500 0.734
Cu 0.000 0.000 0.500

magnetization	3.96	μB/f.u.
calculated density	8.04	Mg/m³
VASP energy	-3.6048	eV/atom
formation energy from the elements	1.13	eV/f.u.
space group	P4/mmm, No. 123
DOS(E_F)	1.85	states/eV/f.u.



No. 5
## CrCd2Cu (PBE-GGA)

Data for a relaxed structure of CrCd2Cu.

a b c (Å): 7.526 7.526 5.561
angles (deg): 90.00 90.00 90.00
Element x y z (fractional)
Cr 0.000 0.000 0.000
Cr 0.000 0.500 0.250
Cr 0.500 0.000 0.750
Cr 0.500 0.500 0.500
Cd 0.222 0.250 0.625
Cd 0.250 0.722 0.875
Cd 0.250 0.778 0.375
Cd 0.278 0.250 0.125
Cd 0.722 0.750 0.125
Cd 0.750 0.222 0.375
Cd 0.750 0.278 0.875
Cd 0.778 0.750 0.625
Cu 0.000 0.000 0.500
Cu 0.000 0.500 0.750
Cu 0.500 0.000 0.250
Cu 0.500 0.500 0.000

magnetization	4.11	μB/f.u.
calculated density	7.18	Mg/m³
VASP energy	-3.3683	eV/atom
formation energy from the elements	2.08	eV/f.u.
space group	I-42d, No. 122
DOS(E_F)	2.65	states/eV/f.u.



No. 6
## Cr4CdCu (PBE-GGA)

Data for a relaxed structure of Cr4CdCu.

a b c (Å): 4.846 4.846 4.846
angles (deg): 60.00 60.00 60.00
Element x y z (fractional)
Cr 0.377 0.377 0.377
Cr 0.377 0.377 0.868
Cr 0.377 0.868 0.377
Cr 0.868 0.377 0.377
Cd 0.000 0.000 0.000
Cu 0.750 0.750 0.750

magnetization	0.00	μB/f.u.
calculated density	7.92	Mg/m³
VASP energy	-6.7407	eV/atom
formation energy from the elements	3.06	eV/f.u.
space group	F-43m, No. 216
DOS(E_F)	7.37	states/eV/f.u.



No. 7
## CrCd2Cu (PBE-GGA)

Data for a relaxed structure of CrCd2Cu.

a b c (Å): 3.210 3.210 6.848
angles (deg): 90.00 90.00 90.00
Element x y z (fractional)
Cr 0.000 0.000 0.000
Cd 0.000 0.000 0.430
Cd 0.500 0.500 0.739
Cu 0.500 0.500 0.192

magnetization	3.75	μB/f.u.
calculated density	8.01	Mg/m³
VASP energy	-3.6262	eV/atom
formation energy from the elements	1.04	eV/f.u.
space group	P4mm, No. 99
DOS(E_F)	2.06	states/eV/f.u.



No. 8
## CrCd3Cu (PBE-GGA)

Data for a relaxed structure of CrCd3Cu.

a b c (Å): 4.934 4.934 4.934
angles (deg): 90.00 90.00 90.00
Element x y z (fractional)
Cr 0.000 0.000 0.000
Cd 0.000 0.500 0.500
Cd 0.500 0.000 0.500
Cd 0.500 0.500 0.000
Cu 0.500 0.500 0.500

magnetization	4.68	μB/f.u.
calculated density	6.26	Mg/m³
VASP energy	-2.6997	eV/atom
formation energy from the elements	2.97	eV/f.u.
space group	Pm-3m, No. 221
DOS(E_F)	2.38	states/eV/f.u.